No. 1
# TlZnI2

A relaxed structure of TlZnI2 (PBE, Alexandria via LeMat-Bulk).

abc: 9.4069 9.4069 9.4069
angles: 136.46 136.46 63.26
Fractional coordinates of all 8 atoms:
Tl  0.0000  0.0000  0.0000
Tl  0.7500  0.2500  0.5000
Zn  0.2500  0.7500  0.5000
Zn  0.5000  0.5000  0.0000
I  0.2014  0.6250  0.0764
I  0.3750  0.4514  0.5764
I  0.5486  0.1250  0.9236
I  0.8750  0.7986  0.4236

Properties
* calculated density: 4.46 g cm⁻³
* uncorrected formation energy: -0.268 eV/atom
* calculated volume: 48.7 Å³ per atom
* energy above the lowest structure with this stoichiometry: 0.0 meV/atom

No. 2
# PrCuPd2

A relaxed structure of PrCuPd2 (PBE, Alexandria via LeMat-Bulk).

abc: 5.6683 8.4360 7.9493
angles: 90.00 90.00 90.00
Fractional coordinates of all 16 atoms:
Pr  0.2500  0.0000  0.1783
Pr  0.2500  0.5000  0.3194
Pr  0.7500  0.0000  0.8217
Pr  0.7500  0.5000  0.6806
Cu  0.2500  0.0000  0.7532
Cu  0.2500  0.5000  0.7191
Cu  0.7500  0.0000  0.2468
Cu  0.7500  0.5000  0.2809
Pd  0.0000  0.0000  0.5000
Pd  0.0000  0.5000  0.0000
Pd  0.2500  0.2361  0.9331
Pd  0.2500  0.7639  0.9331
Pd  0.5000  0.0000  0.5000
Pd  0.5000  0.5000  0.0000
Pd  0.7500  0.2361  0.0669
Pd  0.7500  0.7639  0.0669

Properties
* calculated density: 7.29 g cm⁻³
* calculated formation energy: -63 meV/atom
* calculated volume: 23.8 Å³ per atom

No. 3
# Nd2Ge3Rh

A relaxed structure of Nd2Ge3Rh (PBE, Alexandria via LeMat-Bulk).

abc: 4.1539 4.3185 7.4183
angles: 90.00 90.00 90.00
Fractional coordinates of all 6 atoms:
Nd  0.0000  0.0000  0.0000
Nd  0.0000  0.5000  0.4862
Ge  0.5000  0.0000  0.6504
Ge  0.5000  0.5000  0.1666
Ge  0.5000  0.5000  0.8295
Rh  0.5000  0.0000  0.3225

Properties
* calculated density: 7.60 g cm⁻³
* calculated formation energy: -792 meV/atom
* calculated volume: 22.2 Å³ per atom
* energy above the lowest structure with this stoichiometry: 43.7 meV/atom

No. 4
# Tl2TcRh

A relaxed structure of Tl2TcRh (PBE, Alexandria via LeMat-Bulk).

abc: 6.3139 6.3139 6.3139
angles: 152.49 136.17 52.53
Fractional coordinates of all 4 atoms:
Tl  0.0000  0.0000  0.0000
Tl  0.7194  0.2194  0.5000
Tc  0.4879  0.4879  0.0000
Rh  0.2985  0.7985  0.5000

Properties
* calculated density: 12.64 g cm⁻³
* calculated formation energy: 504 meV/atom
* calculated volume: 20.0 Å³ per atom
* energy above the lowest structure with this stoichiometry: 190.7 meV/atom

No. 5
# ZrCd2As

A relaxed structure of ZrCd2As (PBE, Alexandria via LeMat-Bulk).

abc: 4.0343 4.0343 5.0773
angles: 90.00 90.00 90.00
Fractional coordinates of all 4 atoms:
Zr  0.0000  0.0000  0.0000
Cd  0.0000  0.5000  0.5000
Cd  0.5000  0.0000  0.5000
As  0.5000  0.5000  0.0000

Properties
* calculated density: 7.86 g cm⁻³
* calculated formation energy: -259 meV/atom
* calculated volume: 20.7 Å³ per atom

No. 6
# NaSmGePd

A relaxed structure of NaSmGePd (PBE, Alexandria via LeMat-Bulk).

abc: 4.8076 4.8076 4.8076
angles: 60.00 60.00 60.00
Fractional coordinates of all 4 atoms:
Na  0.0000  0.0000  0.0000
Sm  0.2500  0.2500  0.2500
Ge  0.7500  0.7500  0.7500
Pd  0.5000  0.5000  0.5000

Properties
* calculated density: 7.45 g cm⁻³
* calculated formation energy: -475 meV/atom
* calculated volume: 19.6 Å³ per atom

No. 7
# SrAc2Sm

A relaxed structure of SrAc2Sm (PBE, Alexandria via LeMat-Bulk).

abc: 3.7869 3.8649 12.2510
angles: 90.00 90.14 90.00
Fractional coordinates of all 4 atoms:
Sr  0.0000  0.0000  0.0000
Ac  0.0013  0.5000  0.7155
Ac  0.9987  0.5000  0.2845
Sm  0.5000  0.0000  0.5000

Properties
* calculated density: 6.41 g cm⁻³
* calculated formation energy: 167 meV/atom
* calculated volume: 44.8 Å³ per atom
* energy above the lowest structure with this stoichiometry: 112.7 meV/atom

No. 8
# YPt2Au2

A relaxed structure of YPt2Au2 (PBE, Alexandria via LeMat-Bulk).

abc: 7.2071 7.2071 3.7672
angles: 90.00 90.00 90.00
Fractional coordinates of all 10 atoms:
Y  0.0000  0.0000  0.0000
Y  0.5000  0.5000  0.0000
Pt  0.1310  0.3690  0.0000
Pt  0.3690  0.8690  0.0000
Pt  0.6310  0.1310  0.0000
Pt  0.8690  0.6310  0.0000
Au  0.1675  0.6675  0.5000
Au  0.3325  0.1675  0.5000
Au  0.6675  0.8325  0.5000
Au  0.8325  0.3325  0.5000

Properties
* calculated density: 14.82 g cm⁻³
* calculated formation energy: -527 meV/atom
* calculated volume: 19.6 Å³ per atom
* energy above the lowest structure with this stoichiometry: 49.7 meV/atom

No. 9
# Ca2ZrAu2

A relaxed structure of Ca2ZrAu2 (PBE, Alexandria via LeMat-Bulk).

abc: 7.3785 7.3785 4.6399
angles: 90.00 90.00 90.00
Fractional coordinates of all 10 atoms:
Ca  0.1691  0.3309  0.0000
Ca  0.3309  0.8309  0.0000
Ca  0.6691  0.1691  0.0000
Ca  0.8309  0.6691  0.0000
Zr  0.0000  0.0000  0.5000
Zr  0.5000  0.5000  0.5000
Au  0.1390  0.6390  0.5000
Au  0.3610  0.1390  0.5000
Au  0.6390  0.8610  0.5000
Au  0.8610  0.3610  0.5000

Properties
* calculated density: 7.43 g cm⁻³
* calculated formation energy: -485 meV/atom
* calculated volume: 25.3 Å³ per atom

No. 10
# LiAl5Au8

A relaxed structure of LiAl5Au8 (PBE, Alexandria via LeMat-Bulk).

abc: 6.8813 6.8813 6.8813
angles: 111.30 111.30 105.88
Fractional coordinates of all 14 atoms:
Li  0.0000  0.0000  0.0000
Al  0.0601  0.2119  0.5996
Al  0.2500  0.7500  0.5000
Al  0.5395  0.9399  0.1517
Al  0.6122  0.4605  0.4004
Al  0.7881  0.3878  0.8483
Au  0.0925  0.6349  0.7678
Au  0.2306  0.4644  0.1041
Au  0.3603  0.1265  0.8959
Au  0.3651  0.1329  0.4576
Au  0.5356  0.6397  0.7662
Au  0.6754  0.9075  0.5424
Au  0.8671  0.3246  0.2322
Au  0.8735  0.7694  0.2338

Properties
* calculated density: 11.40 g cm⁻³
* calculated formation energy: -313 meV/atom
* calculated volume: 17.9 Å³ per atom

No. 11
# TmZrNp2As4

A relaxed structure of TmZrNp2As4 (PBE, Alexandria via LeMat-Bulk).

abc: 6.9724 4.0137 7.0004
angles: 90.00 109.29 90.00
Fractional coordinates of all 8 atoms:
Tm  0.0000  0.0000  0.0000
Zr  0.0000  0.5000  0.5000
Np  0.5000  0.0000  0.5000
Np  0.5000  0.5000  0.0000
As  0.2402  0.0000  0.7423
As  0.2428  0.5000  0.2532
As  0.7572  0.5000  0.7468
As  0.7598  0.0000  0.2577

Properties
* calculated density: 9.28 g cm⁻³
* calculated formation energy: -998 meV/atom
* calculated volume: 23.1 Å³ per atom

No. 12
# Th6Co3HgSe2

A relaxed structure of Th6Co3HgSe2 (PBE, Alexandria via LeMat-Bulk).

abc: 9.6003 9.6003 8.7647
angles: 106.39 106.39 23.67
Fractional coordinates of all 12 atoms:
Th  0.0074  0.0074  0.2109
Th  0.3216  0.3216  0.4371
Th  0.3386  0.3386  0.8898
Th  0.6614  0.6614  0.1102
Th  0.6784  0.6784  0.5629
Th  0.9926  0.9926  0.7891
Co  0.1689  0.1689  0.3341
Co  0.5000  0.5000  0.0000
Co  0.8311  0.8311  0.6659
Hg  0.5000  0.5000  0.5000
Se  0.1671  0.1671  0.8377
Se  0.8329  0.8329  0.1623

Properties
* calculated density: 10.31 g cm⁻³
* uncorrected formation energy: -0.696 eV/atom
* calculated volume: 25.9 Å³ per atom